Density functional theory data (GGA-PBE) for a relaxed structure of CrMo3.

abc: 9.416 9.416 9.416
angles: 157.48 157.48 32.07
Positions (direct):
1 Mo 0.124 0.124 0.000
2 Cr 0.374 0.374 0.000
3 Cr 0.626 0.626 0.000
4 Mo 0.876 0.876 0.000
5 Mo 0.500 0.000 0.500
6 Mo 0.750 0.250 0.500
7 Mo 0.250 0.750 0.500
8 Mo 0.000 0.500 0.500

* DFT formation energy: 136.0 kJ/mol of formula units
* crystal system: tetragonal